TiMn3Cl | PBE-GGA | relaxed

Values from the calculation:
As for the space-group type: Pm-3m (221). The calculation puts the excess energy over the best structure of this formula in the dataset at 418 meV per atom. The final energy comes out at -6.3353 eV per atom. The uncorrected formation energy is 1.11 eV/atom.

abc: 4.7234 4.7234 4.7234
angles: 90.00 90.00 90.00
Last column: nearest neighbours and their distance in Å.
Fractional positions:
Cl 0.5000 0.5000 0.5000  12 Mn 3.34
Mn 0.0000 0.5000 0.0000  2 Ti 2.36
Mn 0.0000 0.0000 0.5000  2 Ti 2.36
Mn 0.5000 0.0000 0.0000  2 Ti 2.36
Ti 0.0000 0.0000 0.0000  6 Mn 2.36



Ti2MnCl6 | PBE-GGA | relaxed

Values from the calculation:
As for the space-group type: C2/c (15). The final energy comes out at -5.2192 eV per atom. The uncorrected formation energy is -1.21 eV/atom.

abc: 6.1738 8.6124 8.6124
angles: 75.43 111.22 111.22
Last column: nearest neighbours and their distance in Å.
Fractional positions:
Ti 0.4972 0.6651 0.8359  6 Cl 2.43-2.59
Ti 0.0028 0.1641 0.3349  6 Cl 2.43-2.59
Ti 0.5028 0.3349 0.1641  6 Cl 2.43-2.59
Ti 0.9972 0.8359 0.6651  6 Cl 2.43-2.59
Mn 0.2500 0.0937 0.9063  6 Cl 2.50-2.61
Mn 0.7500 0.9063 0.0937  6 Cl 2.50-2.61
Cl 0.5576 0.7203 0.5599  2 Ti 2.43-2.44
Cl 0.9424 0.4401 0.2797  2 Ti 2.43-2.44
Cl 0.4424 0.2797 0.4401  2 Ti 2.43-2.44
Cl 0.0576 0.5599 0.7203  2 Ti 2.43-2.44
Cl 0.0452 0.8772 0.3803  2 Ti 2.50, 1 Mn 2.50
Cl 0.4548 0.6197 0.1228  2 Ti 2.50, 1 Mn 2.50
Cl 0.9548 0.1228 0.6197  2 Ti 2.50, 1 Mn 2.50
Cl 0.5452 0.3803 0.8772  2 Ti 2.50, 1 Mn 2.50
Cl 0.9641 0.7911 0.9627  2 Ti 2.57-2.59, 2 Mn 2.57-2.61
Cl 0.5359 0.0373 0.2089  2 Ti 2.57-2.59, 2 Mn 2.57-2.61
Cl 0.0359 0.2089 0.0373  2 Ti 2.57-2.59, 2 Mn 2.57-2.61
Cl 0.4641 0.9627 0.7911  2 Ti 2.57-2.59, 2 Mn 2.57-2.61



Ti3MnCl | PBE-GGA | relaxed

Values from the calculation:
As for the space-group type: Pm-3m (221). The calculation puts the excess energy over the best structure of this formula in the dataset at 0 meV per atom. The final energy comes out at -6.5406 eV per atom. The uncorrected formation energy is 0.40 eV/atom.

abc: 4.3725 4.3725 4.3725
angles: 90.00 90.00 90.00
Last column: nearest neighbours and their distance in Å.
Fractional positions:
Cl 0.0000 0.0000 0.0000  6 Ti 2.19
Mn 0.5000 0.5000 0.5000  12 Ti 3.09
Ti 0.0000 0.5000 0.0000  2 Cl 2.19
Ti 0.0000 0.0000 0.5000  2 Cl 2.19
Ti 0.5000 0.0000 0.0000  2 Cl 2.19



Ti2MnCl | PBE-GGA | relaxed

Values from the calculation:
As for the space-group type: Fm-3m (225). The calculation puts the excess energy over the best structure of this formula in the dataset at 0 meV per atom. The final energy comes out at -6.3829 eV per atom. The uncorrected formation energy is 0.32 eV/atom.

abc: 4.3589 4.3589 4.3589
angles: 60.00 60.00 60.00
Last column: nearest neighbours and their distance in Å.
Fractional positions:
Cl 0.0000 0.0000 0.0000  8 Ti 2.67
Mn 0.5000 0.5000 0.5000  8 Ti 2.67
Ti 0.2500 0.2500 0.2500  4 Mn 2.67, 4 Cl 2.67
Ti 0.7500 0.7500 0.7500  4 Mn 2.67, 4 Cl 2.67



TiMnTlCl6 | PBE-GGA | relaxed

Values from the calculation:
As for the space-group type: P-31c (163). The final energy comes out at -4.6875 eV per atom. The uncorrected formation energy is -1.30 eV/atom.

abc: 6.5317 6.5317 14.1504
angles: 90.00 90.00 120.00
Last column: nearest neighbours and their distance in Å.
Fractional positions:
Ti 0.6667 0.3333 0.2500  6 Cl 2.44
Ti 0.3333 0.6667 0.7500  6 Cl 2.44
Mn 0.3333 0.6667 0.2500  6 Cl 2.54
Mn 0.6667 0.3333 0.7500  6 Cl 2.54
Tl 0.0000 0.0000 0.0000  6 Cl 3.25
Tl 0.0000 0.0000 0.5000  6 Cl 3.25
Cl 0.6298 0.6190 0.1506  1 Ti 2.44, 1 Mn 2.54
Cl 0.9892 0.3702 0.1506  1 Ti 2.44, 1 Mn 2.54
Cl 0.3702 0.9892 0.6506  1 Ti 2.44, 1 Mn 2.54
Cl 0.0108 0.6298 0.8494  1 Ti 2.44, 1 Mn 2.54
Cl 0.3810 0.3702 0.3494  1 Ti 2.44, 1 Mn 2.54
Cl 0.9892 0.6190 0.3494  1 Ti 2.44, 1 Mn 2.54
Cl 0.6190 0.9892 0.8494  1 Ti 2.44, 1 Mn 2.54
Cl 0.6298 0.0108 0.3494  1 Ti 2.44, 1 Mn 2.54
Cl 0.0108 0.3810 0.6506  1 Ti 2.44, 1 Mn 2.54
Cl 0.3810 0.0108 0.1506  1 Ti 2.44, 1 Mn 2.54
Cl 0.6190 0.6298 0.6506  1 Ti 2.44, 1 Mn 2.54
Cl 0.3702 0.3810 0.8494  1 Ti 2.44, 1 Mn 2.54



Ti2MnZnCl | PBE-GGA | relaxed

Values from the calculation:
As for the space-group type: P4/mmm (123). The final energy comes out at -4.5343 eV per atom. The uncorrected formation energy is 1.08 eV/atom.

abc: 4.8712 4.3853 4.8712
angles: 90.00 90.00 90.00
Last column: nearest neighbours and their distance in Å.
Fractional positions:
Cl 0.5000 0.5000 0.5000  8 Ti 3.28, 4 Mn 3.44
Zn 0.0000 0.0000 0.0000  2 Mn 2.19, 4 Ti 2.44
Mn 0.0000 0.5000 0.0000  2 Zn 2.19
Ti 0.0000 0.0000 0.5000  2 Zn 2.44
Ti 0.5000 0.0000 0.0000  2 Zn 2.44